# Li2InPb6, optimized geometry, DFT GGA-PBE
data_Li2InPb6
_cell_length_a 3.4789
_cell_length_b 9.0827
_cell_length_c 16.6732
_cell_angle_alpha 90.00
_cell_angle_beta 90.00
_cell_angle_gamma 90.00
_space_group_name_H-M_alt 'I m m m'
_space_group_IT_number 71
_space_group_name_Hall '-I 2 2'
loop_
_atom_site_label
_atom_site_fract_x
_atom_site_fract_y
_atom_site_fract_z
_atom_site_occupancy
Li1 0.0000 0.0000 0.1456 1
In1 0.0000 0.5000 0.0000 1
Pb1 0.0000 0.1771 0.3241 1
Pb2 0.0000 0.3256 0.5000 1
# Offset from the most stable computed form = 0.00 kJ/mol of atoms
# Energy of formation = -33.9 kJ/mol of formula units
# Volume = 526.83 Å³ per cell
# Crystal system = orthorhombic

=====

# Li6InPb2, optimized geometry, DFT GGA-PBE
data_Li6InPb2
_cell_length_a 7.7362
_cell_length_b 8.1848
_cell_length_c 5.6452
_cell_angle_alpha 90.00
_cell_angle_beta 94.67
_cell_angle_gamma 90.00
_space_group_name_H-M_alt 'C 1 2/m 1'
_space_group_IT_number 12
_space_group_name_Hall '-C 2y'
loop_
_atom_site_label
_atom_site_fract_x
_atom_site_fract_y
_atom_site_fract_z
_atom_site_occupancy
Li1 0.0000 0.1672 0.0000 1
Li2 0.1667 0.3336 0.6674 1
In1 0.0000 0.0000 0.5000 1
Pb1 0.1753 0.5000 0.1763 1
# Offset from the most stable computed form = 0.00 kJ/mol of atoms
# Energy of formation = -232.1 kJ/mol of formula units
# Volume = 356.27 Å³ per cell
# Crystal system = monoclinic

=====

# LiInPb2, optimized geometry, DFT GGA-PBE
data_LiInPb2
_cell_length_a 3.6875
_cell_length_b 3.6875
_cell_length_c 27.5924
_cell_angle_alpha 90.00
_cell_angle_beta 90.00
_cell_angle_gamma 120.00
_space_group_name_H-M_alt 'R -3 m'
_space_group_IT_number 166
_space_group_name_Hall '-R 3 2"'
loop_
_atom_site_label
_atom_site_fract_x
_atom_site_fract_y
_atom_site_fract_z
_atom_site_occupancy
Li1 0.0000 0.0000 0.0000 1
In1 0.0000 0.0000 0.5000 1
Pb1 0.0000 0.0000 0.2532 1
# Energy of formation = -24.1 kJ/mol of formula units
# Volume = 324.93 Å³ per cell
# Crystal system = trigonal

=====

# Li6In12Pb, optimized geometry, DFT GGA-PBE
data_Li6In12Pb
_cell_length_a 13.0636
_cell_length_b 13.0636
_cell_length_c 9.4117
_cell_angle_alpha 90.00
_cell_angle_beta 90.00
_cell_angle_gamma 120.00
_space_group_name_H-M_alt 'R -3'
_space_group_IT_number 148
_space_group_name_Hall '-R 3'
loop_
_atom_site_label
_atom_site_fract_x
_atom_site_fract_y
_atom_site_fract_z
_atom_site_occupancy
Li1 0.0830 0.1747 0.2536 1
In1 0.0008 0.2623 0.5032 1
In2 0.0900 0.5389 0.6085 1
Pb1 0.0000 0.0000 0.5000 1
# Offset from the most stable computed form = 2.91 kJ/mol of atoms
# Energy of formation = -184.4 kJ/mol of formula units
# Volume = 1390.99 Å³ per cell
# Crystal system = trigonal

=====

# Li3InPb2, optimized geometry, DFT GGA-PBE
data_Li3InPb2
_cell_length_a 3.4750
_cell_length_b 3.4750
_cell_length_c 10.6816
_cell_angle_alpha 90.00
_cell_angle_beta 90.00
_cell_angle_gamma 90.00
_space_group_name_H-M_alt 'P 4/m m m'
_space_group_IT_number 123
_space_group_name_Hall '-P 4 2'
loop_
_atom_site_label
_atom_site_fract_x
_atom_site_fract_y
_atom_site_fract_z
_atom_site_occupancy
Li1 0.0000 0.0000 0.0000 1
Li2 0.0000 0.0000 0.3445 1
In1 0.5000 0.5000 0.5000 1
Pb1 0.5000 0.5000 0.1756 1
# Energy of formation = -157.9 kJ/mol of formula units
# Volume = 128.98 Å³ per cell
# Crystal system = tetragonal

=====

# LiIn2Pb, optimized geometry, DFT GGA-PBE
data_LiIn2Pb
_cell_length_a 6.3779
_cell_length_b 11.1898
_cell_length_c 3.2345
_cell_angle_alpha 90.00
_cell_angle_beta 114.65
_cell_angle_gamma 90.00
_space_group_name_H-M_alt 'C 1 2/m 1'
_space_group_IT_number 12
_space_group_name_Hall '-C 2y'
loop_
_atom_site_label
_atom_site_fract_x
_atom_site_fract_y
_atom_site_fract_z
_atom_site_occupancy
Li1 0.0000 0.0000 0.0000 1
In1 0.2500 0.2500 0.5000 1
Pb1 0.0000 0.5000 0.0000 1
# Energy of formation = -28.8 kJ/mol of formula units
# Volume = 209.81 Å³ per cell
# Crystal system = monoclinic

=====

# Li5InPb4, optimized geometry, DFT GGA-PBE
data_Li5InPb4
_cell_length_a 3.5156
_cell_length_b 3.5156
_cell_length_c 17.7855
_cell_angle_alpha 90.00
_cell_angle_beta 90.00
_cell_angle_gamma 90.00
_space_group_name_H-M_alt 'P 4/m m m'
_space_group_IT_number 123
_space_group_name_Hall '-P 4 2'
loop_
_atom_site_label
_atom_site_fract_x
_atom_site_fract_y
_atom_site_fract_z
_atom_site_occupancy
Li1 0.0000 0.0000 0.0000 1
Li2 0.0000 0.0000 0.2036 1
Li3 0.0000 0.0000 0.4067 1
In1 0.5000 0.5000 0.5000 1
Pb1 0.5000 0.5000 0.1013 1
Pb2 0.5000 0.5000 0.3073 1
# Energy of formation = -255.9 kJ/mol of formula units
# Volume = 219.81 Å³ per cell
# Crystal system = tetragonal

=====

# Li2In3Pb, optimized geometry, DFT GGA-PBE
data_Li2In3Pb
_cell_length_a 15.1247
_cell_length_b 3.2087
_cell_length_c 6.3005
_cell_angle_alpha 90.00
_cell_angle_beta 103.37
_cell_angle_gamma 90.00
_space_group_name_H-M_alt 'C 1 2/m 1'
_space_group_IT_number 12
_space_group_name_Hall '-C 2y'
loop_
_atom_site_label
_atom_site_fract_x
_atom_site_fract_y
_atom_site_fract_z
_atom_site_occupancy
Li1 0.1481 0.0000 0.3577 1
In1 0.0000 0.5000 0.5000 1
In2 0.1853 0.5000 0.8140 1
Pb1 0.0000 0.5000 0.0000 1
# Energy of formation = -52.0 kJ/mol of formula units
# Volume = 297.48 Å³ per cell
# Crystal system = monoclinic

=====

# Li2InPb2, optimized geometry, DFT GGA-PBE
data_Li2InPb2
_cell_length_a 6.0117
_cell_length_b 3.4552
_cell_length_c 12.0097
_cell_angle_alpha 90.00
_cell_angle_beta 92.92
_cell_angle_gamma 90.00
_space_group_name_H-M_alt 'P 1 21/m 1'
_space_group_IT_number 11
_space_group_name_Hall '-P 2yb'
loop_
_atom_site_label
_atom_site_fract_x
_atom_site_fract_y
_atom_site_fract_z
_atom_site_occupancy
Li1 0.1215 0.2500 0.3070 1
Li2 0.3670 0.2500 0.0805 1
In1 0.4412 0.2500 0.7245 1
Pb1 0.1261 0.7500 0.9019 1
Pb2 0.2503 0.7500 0.5097 1
# Offset from the most stable computed form = 3.42 kJ/mol of atoms
# Energy of formation = -60.6 kJ/mol of formula units
# Volume = 249.14 Å³ per cell
# Crystal system = monoclinic

=====

# LiIn2Pb, optimized geometry, DFT GGA-PBE
data_LiIn2Pb
_cell_length_a 5.0796
_cell_length_b 3.2453
_cell_length_c 7.5120
_cell_angle_alpha 90.00
_cell_angle_beta 108.10
_cell_angle_gamma 90.00
_space_group_name_H-M_alt 'P 1 2/m 1'
_space_group_IT_number 10
_space_group_name_Hall '-P 2y'
loop_
_atom_site_label
_atom_site_fract_x
_atom_site_fract_y
_atom_site_fract_z
_atom_site_occupancy
Li1 0.0000 0.0000 0.0000 1
In1 0.2983 0.0000 0.6059 1
Pb1 0.5000 0.5000 0.0000 1
# Energy of formation = 4.0 kJ/mol of formula units
# Volume = 117.71 Å³ per cell
# Crystal system = monoclinic

=====

# Li5InPb6, optimized geometry, DFT GGA-PBE
data_Li5InPb6
_cell_length_a 4.9850
_cell_length_b 8.0630
_cell_length_c 14.4032
_cell_angle_alpha 90.00
_cell_angle_beta 90.00
_cell_angle_gamma 90.00
_space_group_name_H-M_alt 'I m m m'
_space_group_IT_number 71
_space_group_name_Hall '-I 2 2'
loop_
_atom_site_label
_atom_site_fract_x
_atom_site_fract_y
_atom_site_fract_z
_atom_site_occupancy
Li1 0.0000 0.0000 0.0000 1
Li2 0.0000 0.0000 0.3490 1
Li3 0.0000 0.5000 0.3240 1
In1 0.0000 0.5000 0.0000 1
Pb1 0.0000 0.2300 0.1705 1
Pb2 0.0000 0.2752 0.5000 1
# Energy of formation = -238.0 kJ/mol of formula units
# Volume = 578.92 Å³ per cell
# Crystal system = orthorhombic

=====

# LiIn2Pb, optimized geometry, DFT GGA-PBE
data_LiIn2Pb
_cell_length_a 4.4058
_cell_length_b 4.4058
_cell_length_c 21.9024
_cell_angle_alpha 90.00
_cell_angle_beta 90.00
_cell_angle_gamma 90.00
_space_group_name_H-M_alt 'I -4 2 d'
_space_group_IT_number 122
_space_group_name_Hall 'I -4 2bw'
loop_
_atom_site_label
_atom_site_fract_x
_atom_site_fract_y
_atom_site_fract_z
_atom_site_occupancy
Li1 0.0000 0.0000 0.0000 1
In1 0.2334 0.2500 0.1250 1
Pb1 0.0000 0.0000 0.5000 1
# Energy of formation = -6.3 kJ/mol of formula units
# Volume = 425.14 Å³ per cell
# Crystal system = tetragonal